{"formula": "CdMoNO2", "functional": "PBE with a Hubbard U", "state": "relaxed", "lattice_angstrom": [[4.1748, 0.0000, 0.0000], [0.0000, 4.1748, 0.0000], [0.0000, 0.0000, 4.1830]], "species": ["Mo", "N", "O", "O", "Cd"], "fractional_positions": [[0.5000, 0.5000, 0.5000], [0.0000, 0.0000, 0.5000], [0.5000, 0.0000, 0.0000], [0.0000, 0.5000, 0.0000], [0.0000, 0.0000, 0.0000]], "energy_ev_per_atom": -4.3462, "magmom_total_mub_per_cell": 2.02}